1.
Material: LiHfSn3
Method: DFT, PBE
State: relaxed

Calculated values
space-group type	Pm-3m, No. 221
formation energy	0.19	eV/atom
energy above the lowest structure with this stoichiometry	0	meV per atom
uncorrected energy	-22.91	eV per cell

Cell and atoms, written as POSCAR:
```
LiHfSn3
1.0
-3.7002 -3.2412 -2.5439
3.1308 0.0110 -4.5680
2.6786 -4.4903 1.8250
Hf Sn Li
1 3 1
Direct
0.0000 0.0000 0.0000
0.0000 0.0000 0.5000
0.0000 0.5000 0.0000
0.5000 0.0000 0.0000
0.5000 0.5000 0.5000
```


2.
Material: Li3HfSn
Method: DFT, PBE
State: relaxed

Calculated values
space-group type	Pm-3m, No. 221
formation energy	0.60	eV/atom
energy above the lowest structure with this stoichiometry	0	meV per atom
uncorrected energy	-16.72	eV per cell

Cell and atoms, written as POSCAR:
```
Li3HfSn
1.0
4.7370 0.0000 0.0000
0.0000 4.7370 0.0000
0.0000 0.0000 4.7370
Li Hf Sn
3 1 1
Direct
0.0000 0.0000 0.5000
0.5000 0.0000 0.0000
0.0000 0.5000 0.0000
0.5000 0.5000 0.5000
0.0000 0.0000 0.0000
```